# 1
Ir3Rh: relaxed, GGA-PBEsol.

* density: 20.3 g/cm3
* energy relative to the elements: -9 meV per atom

Unit cell a=2.6998 b=2.6998 c=7.6325 alpha=90.00 beta=90.00 gamma=90.00
Element x y z (fractional)
Ir 0.5000 0.5000 0.5000
Ir 0.0000 0.0000 0.7498
Rh 0.5000 0.5000 0.0000
Ir 0.0000 0.0000 0.2502



# 2
Ir5Rh: relaxed, GGA-PBEsol.

* density: 21.0 g/cm3
* energy relative to the elements: 57 meV per atom

Unit cell a=2.7184 b=5.1635 c=6.4281 alpha=104.47 beta=90.00 gamma=105.26
Element x y z (fractional)
Ir 0.3347 0.6694 0.6669
Rh 0.7216 0.4432 0.9447
Ir 0.6666 0.3332 0.3326
Ir 0.3895 0.7791 0.2781
Ir 0.0556 0.1111 0.6110
Ir 0.9986 0.9973 0.0001



# 3
Ir5Rh4: relaxed, GGA-PBEsol.

* density: 18.4 g/cm3
* energy relative to the elements: -21 meV per atom

Unit cell a=3.8070 b=6.0173 c=6.0173 alpha=84.26 beta=71.56 gamma=71.56
Element x y z (fractional)
Rh 0.6690 0.3310 0.3310
Rh 0.3310 0.6690 0.6690
Ir 0.3334 0.3332 0.0000
Ir 0.0000 0.0000 0.0000
Ir 0.3334 0.0000 0.3332
Rh 0.0000 0.6690 0.3310
Ir 0.6666 0.6668 0.0000
Ir 0.6666 0.0000 0.6668
Rh 0.0000 0.3310 0.6690



# 4
Ir5Rh: relaxed, GGA-PBEsol.

* density: 21.0 g/cm3
* energy relative to the elements: 59 meV per atom

Unit cell a=2.7174 b=4.3950 c=7.1685 alpha=90.00 beta=100.93 gamma=90.00
Element x y z (fractional)
Ir 0.0012 0.0000 0.0023
Ir 0.3326 0.0000 0.6653
Ir 0.4442 0.5000 0.8885
Ir 0.6665 0.0000 0.3329
Ir 0.7779 0.5000 0.5558
Rh 0.1109 0.5000 0.2218



# 5
Ir3Rh: relaxed, GGA-PBEsol.

* density: 20.3 g/cm3
* energy relative to the elements: -14 meV per atom

Unit cell a=3.8144 b=3.8144 c=8.1014 alpha=103.62 beta=103.62 gamma=90.00
Element x y z (fractional)
Ir 0.0000 0.5000 0.0000
Ir 0.5000 0.0000 0.0000
Rh 0.6241 0.6241 0.2482
Ir 0.1258 0.1258 0.2515
Rh 0.3759 0.3759 0.7518
Ir 0.8742 0.8742 0.7485
Ir 0.2500 0.7500 0.5000
Ir 0.7500 0.2500 0.5000



# 6
Ir3Rh: relaxed, GGA-PBEsol.

* density: 20.3 g/cm3
* energy relative to the elements: -11 meV per atom

Unit cell a=2.7005 b=4.6731 c=4.6731 alpha=109.43 beta=90.00 gamma=90.00
Element x y z (fractional)
Ir 0.0000 0.0000 0.0000
Ir 0.5000 0.5000 0.0000
Ir 0.5000 0.0000 0.5000
Rh 0.0000 0.5000 0.5000



# 7
IrRh: relaxed, GGA-PBEsol.

* density: 17.8 g/cm3
* energy relative to the elements: -14 meV per atom

Unit cell a=2.6921 b=2.6921 c=7.5933 alpha=90.00 beta=90.00 gamma=90.00
Element x y z (fractional)
Rh 0.5000 0.0000 0.6257
Ir 0.5000 0.0000 0.1248
Rh 0.0000 0.5000 0.3743
Ir 0.0000 0.5000 0.8752



# 8
IrRh: relaxed, GGA-PBEsol.

* density: 17.8 g/cm3
* energy relative to the elements: -21 meV per atom

Unit cell a=2.6885 b=2.6885 c=4.6577 alpha=73.23 beta=73.23 gamma=60.00
Element x y z (fractional)
Rh 0.5000 0.5000 0.5000
Ir 0.0000 0.0000 0.0000



# 9
Ir5Rh3: relaxed, GGA-PBEsol.

* density: 19.1 g/cm3
* energy relative to the elements: -17 meV per atom

Unit cell a=3.8109 b=5.3851 c=5.3851 alpha=90.03 beta=90.00 gamma=90.00
Element x y z (fractional)
Rh 0.5000 0.7506 0.7506
Ir 0.5000 0.2496 0.7504
Rh 0.5000 0.2494 0.2494
Ir 0.0000 0.0000 0.0000
Ir 0.0000 0.5000 0.0000
Ir 0.5000 0.7504 0.2496
Rh 0.0000 0.5000 0.5000
Ir 0.0000 0.0000 0.5000



# 10
Ir8Rh: relaxed, GGA-PBEsol.

* density: 21.7 g/cm3
* energy relative to the elements: -7 meV per atom

Unit cell a=3.8240 b=6.0462 c=6.0462 alpha=84.26 beta=71.56 gamma=71.56
Element x y z (fractional)
Ir 0.3335 0.6665 0.6665
Ir 0.6674 0.6652 0.0000
Ir 0.6665 0.3335 0.3335
Ir 0.3326 0.0000 0.3348
Ir 0.0000 0.3335 0.6665
Ir 0.3326 0.3348 0.0000
Ir 0.0000 0.6665 0.3335
Ir 0.6674 0.0000 0.6652
Rh 0.0000 0.0000 0.0000



# 11
Ir4Rh5: relaxed, GGA-PBEsol.

* density: 17.3 g/cm3
* energy relative to the elements: -20 meV per atom

Unit cell a=3.8007 b=6.0079 c=6.0079 alpha=84.26 beta=71.56 gamma=71.56
Element x y z (fractional)
Ir 0.6650 0.3350 0.3350
Ir 0.0000 0.6650 0.3350
Rh 0.3329 0.0000 0.3342
Rh 0.0000 0.0000 0.0000
Rh 0.3329 0.3342 0.0000
Ir 0.0000 0.3350 0.6650
Ir 0.3350 0.6650 0.6650
Rh 0.6671 0.0000 0.6658
Rh 0.6671 0.6658 0.0000



# 12
Ir3Rh: relaxed, GGA-PBEsol.

* density: 20.3 g/cm3
* energy relative to the elements: -9 meV per atom

Unit cell a=2.6982 b=2.6982 c=8.9574 alpha=81.35 beta=81.35 gamma=59.98
Element x y z (fractional)
Ir 0.2503 0.2503 0.2496
Ir 0.5000 0.5000 0.5000
Rh 0.0000 0.0000 0.0000
Ir 0.7498 0.7498 0.7504



# 13
Ir3Rh: relaxed, GGA-PBEsol.

* density: 20.3 g/cm3
* energy relative to the elements: -18 meV per atom

Unit cell a=2.6993 b=4.6729 c=4.6742 alpha=99.60 beta=106.78 gamma=90.00
Element x y z (fractional)
Rh 0.0000 0.5000 0.0000
Ir 0.7513 0.7511 0.5026
Ir 0.5000 0.0000 0.0000
Ir 0.2487 0.2489 0.4974



# 14
Ir5Rh: relaxed, GGA-PBEsol.

* density: 19.4 g/cm3
* energy relative to the elements: 749 meV per atom

Unit cell a=5.0459 b=5.0459 c=5.0459 alpha=60.00 beta=60.00 gamma=60.00
Element x y z (fractional)
Ir 0.7500 0.7500 0.7500
Rh 0.0000 0.0000 0.0000
Ir 0.3751 0.3751 0.8748
Ir 0.8748 0.3751 0.3751
Ir 0.3751 0.3751 0.3751
Ir 0.3751 0.8748 0.3751



# 15
Ir3Rh: relaxed, GGA-PBEsol.

* density: 20.3 g/cm3
* energy relative to the elements: -11 meV per atom

Unit cell a=3.8166 b=3.8166 c=3.8166 alpha=90.00 beta=90.00 gamma=90.00
Element x y z (fractional)
Ir 0.0000 0.5000 0.0000
Ir 0.5000 0.0000 0.0000
Ir 0.0000 0.0000 0.5000
Rh 0.5000 0.5000 0.5000



# 16
Ir3Rh: relaxed, GGA-PBEsol.

* density: 20.2 g/cm3
* energy relative to the elements: 55 meV per atom

Unit cell a=4.3958 b=5.4137 c=5.4137 alpha=120.00 beta=90.00 gamma=90.00
Element x y z (fractional)
Ir 0.7500 0.6658 0.8329
Ir 0.2500 0.8329 0.6658
Rh 0.2500 0.3333 0.6667
Ir 0.2500 0.8329 0.1671
Ir 0.7500 0.1671 0.3342
Rh 0.7500 0.6667 0.3333
Ir 0.2500 0.3342 0.1671
Ir 0.7500 0.1671 0.8329



# 17
IrRh: relaxed, GGA-PBEsol.

* density: 17.8 g/cm3
* energy relative to the elements: 26 meV per atom

Unit cell a=4.3762 b=4.6712 c=5.3941 alpha=90.00 beta=90.00 gamma=90.00
Element x y z (fractional)
Ir 0.7500 0.9175 0.1264
Rh 0.2500 0.0847 0.3766
Ir 0.2500 0.5825 0.6264
Rh 0.2500 0.5847 0.1234
Rh 0.7500 0.9153 0.6234
Ir 0.7500 0.4175 0.3736
Ir 0.2500 0.0825 0.8736
Rh 0.7500 0.4153 0.8766



# 18
Ir5Rh: relaxed, GGA-PBEsol.

* density: 21.1 g/cm3
* energy relative to the elements: -5 meV per atom

Unit cell a=2.7039 b=2.7039 c=11.4588 alpha=90.00 beta=90.00 gamma=90.00
Element x y z (fractional)
Ir 0.0000 0.0000 0.5000
Ir 0.5000 0.5000 0.6680
Ir 0.0000 0.0000 0.1665
Rh 0.5000 0.5000 0.0000
Ir 0.0000 0.0000 0.8335
Ir 0.5000 0.5000 0.3320



# 19
Ir3Rh: relaxed, GGA-PBEsol.

* density: 20.2 g/cm3
* energy relative to the elements: 48 meV per atom

Unit cell a=4.3945 b=4.6883 c=5.4150 alpha=90.00 beta=90.00 gamma=90.00
Element x y z (fractional)
Rh 0.5000 0.3344 0.5000
Ir 0.5000 0.8334 0.2479
Ir 0.5000 0.3332 0.0000
Ir 0.0000 0.1666 0.2521
Ir 0.5000 0.8334 0.7521
Rh 0.0000 0.6656 0.0000
Ir 0.0000 0.1666 0.7479
Ir 0.0000 0.6668 0.5000



# 20
Ir3Rh: relaxed, GGA-PBEsol.

* density: 20.2 g/cm3
* energy relative to the elements: 46 meV per atom

Unit cell a=2.7155 b=4.6878 c=5.1547 alpha=117.05 beta=105.27 gamma=90.00
Element x y z (fractional)
Ir 0.2485 0.2485 0.4970
Ir 0.7515 0.7515 0.5030
Rh 0.0000 0.6661 0.0000
Ir 0.5000 0.1673 0.0000



# 21
Ir3Rh: relaxed, GGA-PBEsol.

* density: 20.2 g/cm3
* energy relative to the elements: 56 meV per atom

Unit cell a=2.7067 b=2.7067 c=8.8035 alpha=90.00 beta=90.00 gamma=120.00
Element x y z (fractional)
Ir 0.0000 0.0000 0.0000
Ir 0.3333 0.6667 0.7494
Ir 0.3333 0.6667 0.2507
Rh 0.0000 0.0000 0.5000



# 22
IrRh4: relaxed, GGA-PBEsol.

* density: 14.8 g/cm3
* energy relative to the elements: -16 meV per atom

Unit cell a=3.7852 b=4.6368 c=4.6368 alpha=80.41 beta=65.91 gamma=65.91
Element x y z (fractional)
Rh 0.6012 0.1983 0.5992
Rh 0.2005 0.4008 0.1983
Rh 0.7995 0.5992 0.8017
Rh 0.3988 0.8017 0.4008
Ir 0.0000 0.0000 0.0000



# 23
Ir3Rh: relaxed, GGA-PBEsol.

* density: 20.2 g/cm3
* energy relative to the elements: 48 meV per atom

Unit cell a=2.7142 b=4.3833 c=4.6948 alpha=90.00 beta=90.00 gamma=90.00
Element x y z (fractional)
Ir 0.5000 0.5000 0.8334
Ir 0.5000 0.0000 0.4998
Ir 0.0000 0.0000 0.0008
Rh 0.0000 0.5000 0.3327



# 24
IrRh: relaxed, GGA-PBEsol.

* density: 17.8 g/cm3
* energy relative to the elements: -28 meV per atom

Unit cell a=2.6887 b=4.6577 c=4.6546 alpha=99.58 beta=90.00 gamma=106.78
Element x y z (fractional)
Rh 0.1238 0.2476 0.3747
Ir 0.6261 0.2523 0.8776
Rh 0.8762 0.7524 0.6253
Ir 0.3739 0.7477 0.1224



# 25
IrRh: relaxed, GGA-PBEsol.

* density: 17.7 g/cm3
* energy relative to the elements: 46 meV per atom

Unit cell a=2.6978 b=2.6978 c=8.7685 alpha=90.00 beta=90.00 gamma=120.00
Element x y z (fractional)
Ir 0.6667 0.3333 0.1255
Ir 0.3333 0.6667 0.8745
Rh 0.3333 0.6667 0.3753
Rh 0.6667 0.3333 0.6247



# 26
Ir5Rh: relaxed, GGA-PBEsol.

* density: 21.1 g/cm3
* energy relative to the elements: -10 meV per atom

Unit cell a=3.8200 b=3.8220 c=6.0407 alpha=90.00 beta=108.38 gamma=90.00
Element x y z (fractional)
Ir 0.0000 0.5000 0.0000
Ir 0.6664 0.5000 0.3327
Ir 0.3336 0.5000 0.6673
Rh 0.5000 0.0000 0.0000
Ir 0.8320 0.0000 0.6640
Ir 0.1680 0.0000 0.3360



# 27
IrRh: relaxed, GGA-PBEsol.

* density: 17.8 g/cm3
* energy relative to the elements: -29 meV per atom

Unit cell a=3.8008 b=3.8008 c=4.6559 alpha=114.09 beta=114.09 gamma=90.00
Element x y z (fractional)
Rh 0.7500 0.2500 0.5000
Ir 0.2500 0.7500 0.5000
Rh 0.5000 0.5000 0.0000
Ir 0.0000 0.0000 0.0000



# 28
Ir2RuRh: relaxed, GGA-PBEsol.

* density: 17.8 g/cm3
* polymorph energy (0 for the lowest one): 35 meV per atom
* energy relative to the elements: 0 meV per atom

Unit cell a=2.6862 b=2.6862 c=8.9202 alpha=81.34 beta=81.34 gamma=60.00
Element x y z (fractional)
Rh 0.5012 0.5012 0.4964
Ru 0.2499 0.2499 0.2503
Ir 0.9987 0.9987 0.0040
Ir 0.7502 0.7502 0.7493



no.,total moment (μB/f.u.),total DFT energy (no corrections) (eV per atom)
1,0.000,-9.41
2,0.000,-9.49
3,0.000,-9.10
4,0.001,-9.48
5,0.000,-9.42
6,0.001,-9.41
7,0.000,-9.00
8,0.000,-9.00
9,0.000,-9.21
10,0.000,-9.64
11,0.000,-8.91
12,0.001,-9.41
13,0.000,-9.42
14,0.005,-8.79
15,0.000,-9.41
16,0.000,-9.35
17,0.000,-8.95
18,0.000,-9.55
19,0.000,-9.35
20,0.000,-9.36
21,0.000,-9.35
22,0.000,-8.49
23,0.000,-9.35
24,0.000,-9.01
25,0.000,-8.93
26,0.001,-9.55
27,0.000,-9.01
28,0.000,-9.49